! K4Ni2W, relaxed, DFT GGA-PBE; values from VASP
&SYSTEM
  ibrav = 0, nat = 7, ntyp = 3
/
ATOMIC_SPECIES
K 39.10 K.upf
Ni 58.69 Ni.upf
W 183.84 W.upf
CELL_PARAMETERS angstrom
-3.2125 3.2125 7.7521
3.2125 -3.2125 7.7521
3.2125 3.2125 -7.7521
ATOMIC_POSITIONS crystal
K 0.0000 0.5000 0.5000
K 0.2233 0.2233 0.0000
K 0.5000 0.0000 0.5000
K 0.7767 0.7767 0.0000
Ni 0.4287 0.4287 0.0000
Ni 0.5713 0.5713 0.0000
W 0.0000 0.0000 0.0000
! Formation energy from the elements ... 145 kJ/mol of atoms
! SG ... I4/mmm

***

! CsAcHgO3, relaxed, DFT GGA-PBE; values from VASP
&SYSTEM
  ibrav = 0, nat = 12, ntyp = 4
/
ATOMIC_SPECIES
Cs 132.91 Cs.upf
Ac 227.00 Ac.upf
Hg 200.59 Hg.upf
O 16.00 O.upf
CELL_PARAMETERS angstrom
7.8446 0.0000 0.0000
0.0000 4.0028 0.0000
-2.2224 0.0000 9.7508
ATOMIC_POSITIONS crystal
Cs 0.0304 0.2500 0.3235
Cs 0.9696 0.7500 0.6765
Ac 0.4706 0.2500 0.6590
Ac 0.5294 0.7500 0.3410
Hg 0.2946 0.2500 0.9996
Hg 0.7054 0.7500 0.0004
O 0.2341 0.2500 0.7954
O 0.3513 0.7500 0.5194
O 0.3524 0.2500 0.2058
O 0.6476 0.7500 0.7942
O 0.6487 0.2500 0.4806
O 0.7659 0.7500 0.2046
! Formation energy from raw total energies ... -1879 meV per atom
! SG ... P2_1/m

***

! ReHg2Mo, relaxed, DFT GGA-PBE; values from VASP
&SYSTEM
  ibrav = 0, nat = 4, ntyp = 3
/
ATOMIC_SPECIES
Re 186.21 Re.upf
Hg 200.59 Hg.upf
Mo 95.94 Mo.upf
CELL_PARAMETERS angstrom
3.9726 0.0000 0.0000
0.0000 3.9726 0.0000
0.0000 0.0000 4.5324
ATOMIC_POSITIONS crystal
Re 0.0000 0.0000 0.0000
Hg 0.0000 0.5000 0.5000
Hg 0.5000 0.0000 0.5000
Mo 0.5000 0.5000 0.0000
! Formation energy from the elements ... 87 kJ/mol of atoms
! SG ... P4/mmm

***

! NaThIO6, relaxed, DFT GGA-PBE; values from VASP
&SYSTEM
  ibrav = 0, nat = 18, ntyp = 4
/
ATOMIC_SPECIES
Na 22.99 Na.upf
Th 232.04 Th.upf
I 126.90 I.upf
O 16.00 O.upf
CELL_PARAMETERS angstrom
5.1121 0.0000 0.0000
0.0000 5.1121 0.0000
0.0000 0.0000 10.1134
ATOMIC_POSITIONS crystal
Na 0.0000 0.0000 0.0000
Na 0.5000 0.5000 0.5000
Th 0.0000 0.0000 0.6710
Th 0.5000 0.5000 0.1710
I 0.0000 0.0000 0.3312
I 0.5000 0.5000 0.8312
O 0.1755 0.1755 0.4710
O 0.1839 0.1839 0.1952
O 0.2365 0.2365 0.8230
O 0.2635 0.7365 0.3230
O 0.3161 0.6839 0.6952
O 0.3245 0.6755 0.9710
O 0.6755 0.3245 0.9710
O 0.6839 0.3161 0.6952
O 0.7365 0.2635 0.3230
O 0.7635 0.7635 0.8230
O 0.8161 0.8161 0.1952
O 0.8245 0.8245 0.4710
! Formation energy from raw total energies ... -1711 meV per atom
! SG ... P4_2nm

***

! Ac2ScPt, relaxed, DFT GGA-PBE; values from VASP
&SYSTEM
  ibrav = 0, nat = 4, ntyp = 3
/
ATOMIC_SPECIES
Ac 227.00 Ac.upf
Sc 44.96 Sc.upf
Pt 195.08 Pt.upf
CELL_PARAMETERS angstrom
1.8596 1.0736 11.2639
-1.8596 1.0736 11.2639
0.0000 -2.1473 11.2639
ATOMIC_POSITIONS crystal
Ac 0.0817 0.0817 0.0817
Ac 0.9183 0.9183 0.9183
Sc 0.5000 0.5000 0.5000
Pt 0.0000 0.0000 0.0000
! Formation energy from the elements ... 27 kJ/mol of atoms
! SG ... R-3m

***

! Ca2Sb3Rh5, relaxed, DFT GGA-PBE; values from VASP
&SYSTEM
  ibrav = 0, nat = 20, ntyp = 3
/
ATOMIC_SPECIES
Ca 40.08 Ca.upf
Sb 121.76 Sb.upf
Rh 102.91 Rh.upf
CELL_PARAMETERS angstrom
2.1892 -12.8371 0.0000
2.1892 12.8371 0.0000
0.0000 0.0000 6.9084
ATOMIC_POSITIONS crystal
Ca 0.0133 0.9867 0.5000
Ca 0.3237 0.6763 0.5298
Ca 0.6763 0.3237 0.0298
Ca 0.9867 0.0133 0.0000
Sb 0.1096 0.8904 0.2579
Sb 0.2765 0.7235 0.0673
Sb 0.4498 0.5502 0.2784
Sb 0.5502 0.4498 0.7784
Sb 0.7235 0.2765 0.5673
Sb 0.8904 0.1096 0.7579
Rh 0.1023 0.8977 0.8620
Rh 0.2075 0.7925 0.3530
Rh 0.2142 0.7858 0.7726
Rh 0.3761 0.6239 0.0082
Rh 0.4447 0.5553 0.6582
Rh 0.5553 0.4447 0.1582
Rh 0.6239 0.3761 0.5082
Rh 0.7858 0.2142 0.2726
Rh 0.7925 0.2075 0.8530
Rh 0.8977 0.1023 0.3620
! Formation energy from raw total energies ... -560 meV per atom
! SG ... Cmc2_1

***

! Pm3Pd4Au4, relaxed, DFT GGA-PBE; values from VASP
&SYSTEM
  ibrav = 0, nat = 11, ntyp = 3
/
ATOMIC_SPECIES
Pm 145.00 Pm.upf
Pd 106.42 Pd.upf
Au 196.97 Au.upf
CELL_PARAMETERS angstrom
3.6927 0.0000 0.0000
-0.0004 4.2972 0.0000
-1.8062 -2.1217 15.0393
ATOMIC_POSITIONS crystal
Pm 0.0000 0.0000 0.0000
Pm 0.1484 0.6463 0.2936
Pm 0.8516 0.3537 0.7064
Pd 0.3134 0.8143 0.6294
Pd 0.4575 0.4562 0.9125
Pd 0.5425 0.5438 0.0875
Pd 0.6866 0.1857 0.3706
Au 0.2562 0.2566 0.5130
Au 0.4012 0.9043 0.8070
Au 0.5988 0.0957 0.1930
Au 0.7438 0.7434 0.4870
! Formation energy from the elements ... -61 kJ/mol of atoms
! SG ... P-1

***

! MnC3, relaxed, DFT GGA-PBE; values from VASP
&SYSTEM
  ibrav = 0, nat = 16, ntyp = 2
/
ATOMIC_SPECIES
Mn 54.94 Mn.upf
C 12.01 C.upf
CELL_PARAMETERS angstrom
6.0713 0.0000 0.0000
0.0000 5.3322 0.0000
0.0000 0.0000 4.1922
ATOMIC_POSITIONS crystal
Mn 0.2056 0.2500 0.2487
Mn 0.2944 0.7500 0.7487
Mn 0.7056 0.2500 0.2513
Mn 0.7944 0.7500 0.7513
C 0.0739 0.0152 0.6360
C 0.0739 0.4848 0.6360
C 0.1015 0.2500 0.7993
C 0.3985 0.7500 0.2993
C 0.4261 0.5152 0.1360
C 0.4261 0.9848 0.1360
C 0.5739 0.0152 0.8640
C 0.5739 0.4848 0.8640
C 0.6015 0.2500 0.7007
C 0.8985 0.7500 0.2007
C 0.9261 0.5152 0.3640
C 0.9261 0.9848 0.3640
! Formation energy from the elements ... 68 kJ/mol of atoms
! SG ... Pnma

***

! PrEr2Bi2, relaxed, DFT GGA-PBE; values from VASP
&SYSTEM
  ibrav = 0, nat = 5, ntyp = 3
/
ATOMIC_SPECIES
Pr 140.91 Pr.upf
Er 167.26 Er.upf
Bi 208.98 Bi.upf
CELL_PARAMETERS angstrom
3.2183 -3.2253 0.0000
3.2183 3.2253 0.0000
-3.1980 0.0000 7.5973
ATOMIC_POSITIONS crystal
Pr 0.0000 0.0000 0.0000
Er 0.2503 0.7497 0.5000
Er 0.7497 0.2503 0.5000
Bi 0.3940 0.3940 0.7899
Bi 0.6060 0.6060 0.2101
! Formation energy from the elements ... -46 kJ/mol of atoms
! SG ... C2/m

***

! AcSmHo, relaxed, DFT GGA-PBE; values from VASP
&SYSTEM
  ibrav = 0, nat = 3, ntyp = 3
/
ATOMIC_SPECIES
Ac 227.00 Ac.upf
Sm 150.36 Sm.upf
Ho 164.93 Ho.upf
CELL_PARAMETERS angstrom
5.8995 0.0000 0.0000
-2.9497 5.1091 0.0000
0.0000 0.0000 3.6017
ATOMIC_POSITIONS crystal
Ac 0.0000 0.0000 0.0000
Sm 0.6667 0.3333 0.4988
Ho 0.3333 0.6667 0.9965
! Formation energy from the elements ... 13 kJ/mol of atoms
! SG ... P3m1

***

! PuU2Ru, relaxed, DFT GGA-PBE; values from VASP
&SYSTEM
  ibrav = 0, nat = 4, ntyp = 3
/
ATOMIC_SPECIES
Pu 244.00 Pu.upf
U 238.03 U.upf
Ru 101.07 Ru.upf
CELL_PARAMETERS angstrom
3.3811 0.0000 0.0000
0.0000 3.3811 0.0000
0.0000 0.0000 6.6672
ATOMIC_POSITIONS crystal
Pu 0.0000 0.0000 0.0000
U 0.5000 0.5000 0.2474
U 0.5000 0.5000 0.7526
Ru 0.0000 0.0000 0.5000
! Formation energy from the elements ... 8 kJ/mol of atoms
! SG ... P4/mmm

***

! CdAuCl2, relaxed, DFT GGA-PBE; values from VASP
&SYSTEM
  ibrav = 0, nat = 4, ntyp = 3
/
ATOMIC_SPECIES
Cd 112.41 Cd.upf
Au 196.97 Au.upf
Cl 35.45 Cl.upf
CELL_PARAMETERS angstrom
5.0221 0.0000 0.0000
0.0000 3.9114 0.0000
-0.7054 0.0000 4.9965
ATOMIC_POSITIONS crystal
Cd 0.0000 0.0000 0.0000
Au 0.5000 0.0000 0.5000
Cl 0.2518 0.5000 0.7483
Cl 0.7482 0.5000 0.2517
! Formation energy from raw total energies ... -188 meV per atom
! SG ... P2/m